VASP calculation (GGA-PBE) on a relaxed structure of AcScTc.

The calculation puts the formation energy at 0.81 eV/atom. The energy comes out at -6.12 eV per atom. The total moment comes out at 0.018 μB per atom.

It has space group F-43m (No. 216), with a = 6.751 Å, b = 6.751 Å, c = 6.751 Å, α = 90.00°, β = 90.00° and γ = 90.00°. The inequivalent atoms are Ac at (0.000, 0.000, 0.000), Sc at (0.250, 0.250, 0.250) and Tc at (0.000, 0.000, 0.500).